# 1
Density functional theory data (SCAN) for a crystal of TaAl2NiS relaxed with PBEsol.

extended XYZ file:
```
5
Lattice="4.302 0.000 0.000 0.000 4.302 0.000 0.000 0.000 4.711" Properties=species:S:1:pos:R:3 pbc="T T T"
Ta 0.000 0.000 0.000
Al 0.000 2.151 2.355
Al 2.151 0.000 2.355
Ni 0.000 0.000 2.355
S 2.151 2.151 0.000
```

Formation energy from raw total energies, eV/atom: 0.25
Calculated volume, A^3/atom: 17.43
M_tot, μB per atom: 0.1587

# 2
Density functional theory data (SCAN) for a crystal of BeSiRh2 relaxed with PBEsol.

extended XYZ file:
```
4
Lattice="-1.708 1.708 4.086 1.708 -1.708 4.086 1.708 1.708 -4.086" Properties=species:S:1:pos:R:3 pbc="T T T"
Be 0.000 0.000 0.000
Si 1.708 0.000 2.043
Rh 0.000 0.000 4.086
Rh 0.000 1.708 2.043
```

Formation energy from raw total energies, eV/atom: -0.53
Energy above the lowest structure with this stoichiometry, meV per atom: 452
Calculated volume, A^3/atom: 11.93
M_tot, μB per atom: 0.0000

# 3
Density functional theory data (SCAN) for a crystal of BaSi2Tc relaxed with PBEsol.

extended XYZ file:
```
4
Lattice="3.264 0.000 0.000 0.000 3.264 0.000 0.000 0.000 7.370" Properties=species:S:1:pos:R:3 pbc="T T T"
Ba 0.000 0.000 0.000
Si 0.000 0.000 3.918
Si 1.632 1.632 2.442
Tc 1.632 1.632 4.786
```

Formation energy from raw total energies, eV/atom: 0.08
Energy above the lowest structure with this stoichiometry, meV per atom: 0
Calculated volume, A^3/atom: 19.63
M_tot, μB per atom: 0.0002

# 4
Density functional theory data (SCAN) for a crystal of CsRb2NaGa relaxed with PBEsol.

extended XYZ file:
```
5
Lattice="7.625 0.000 0.000 0.000 7.625 0.000 0.000 0.000 6.676" Properties=species:S:1:pos:R:3 pbc="T T T"
Cs 0.000 0.000 0.000
Rb 0.000 3.813 0.000
Rb 3.813 0.000 0.000
Na 0.000 0.000 3.338
Ga 3.813 3.813 3.338
```

Formation energy, eV per atom: 0.73
Calculated volume, A^3/atom: 77.64
M_tot, μB per atom: 0.0797